Entry 1:
# Pu2CdPt (PBE, relaxed)
data_Pu2CdPt
_symmetry_space_group_name_H-M 'P 4/m m m'
_symmetry_Int_Tables_number 123
_symmetry_space_group_name_Hall '-P 4 2'
_cell_length_a 3.438
_cell_length_b 3.438
_cell_length_c 8.207
_cell_angle_alpha 90.00
_cell_angle_beta 90.00
_cell_angle_gamma 90.00
loop_
_atom_site_label
_atom_site_fract_x
_atom_site_fract_y
_atom_site_fract_z
Pu1 0.000 0.000 0.214
Cd1 0.500 0.500 0.500
Pt1 0.500 0.500 0.000
# Energy above the most stable polymorph in this dataset: 0 meV/atom
# Volume: 97 Å³/cell

=====

Entry 2:
# Pu3CdPt2 (PBE, relaxed)
data_Pu3CdPt2
_symmetry_space_group_name_H-M 'P 4/m m m'
_symmetry_Int_Tables_number 123
_symmetry_space_group_name_Hall '-P 4 2'
_cell_length_a 3.446
_cell_length_b 3.446
_cell_length_c 11.837
_cell_angle_alpha 90.00
_cell_angle_beta 90.00
_cell_angle_gamma 90.00
loop_
_atom_site_label
_atom_site_fract_x
_atom_site_fract_y
_atom_site_fract_z
Pu1 0.000 0.000 0.000
Pu2 0.000 0.000 0.304
Cd1 0.500 0.500 0.500
Pt1 0.500 0.500 0.157
# Energy above the most stable polymorph in this dataset: 0 meV/atom
# Volume: 141 Å³/cell

=====

Entry 3:
# Pu7CdPt4 (PBE, relaxed)
data_Pu7CdPt4
_symmetry_space_group_name_H-M 'C 1 2/m 1'
_symmetry_Int_Tables_number 12
_cell_length_a 11.788
_cell_length_b 5.598
_cell_length_c 8.929
_cell_angle_alpha 90.00
_cell_angle_beta 106.01
_cell_angle_gamma 90.00
loop_
_symmetry_equiv_pos_as_xyz
'x,y,z'
'-x,-y,-z'
'-x,y,-z'
'x,-y,z'
'x+1/2,y+1/2,z'
'-x+1/2,-y+1/2,-z'
'-x+1/2,y+1/2,-z'
'x+1/2,-y+1/2,z'
loop_
_atom_site_label
_atom_site_fract_x
_atom_site_fract_y
_atom_site_fract_z
Pu1 0.000 0.000 0.000
Pu2 0.036 0.500 0.677
Pu3 0.229 0.000 0.910
Pu4 0.237 0.000 0.596
Cd1 0.000 0.500 0.000
Pt1 0.007 0.000 0.342
Pt2 0.221 0.000 0.245
# Volume: 566 Å³/cell

=====

Entry 4:
# Pu2CdPt (PBE, relaxed)
data_Pu2CdPt
_symmetry_space_group_name_H-M 'P 4/m m m'
_symmetry_Int_Tables_number 123
_symmetry_space_group_name_Hall '-P 4 2'
_cell_length_a 5.563
_cell_length_b 5.563
_cell_length_c 2.993
_cell_angle_alpha 90.00
_cell_angle_beta 90.00
_cell_angle_gamma 90.00
loop_
_atom_site_label
_atom_site_fract_x
_atom_site_fract_y
_atom_site_fract_z
Pu1 0.000 0.500 0.000
Cd1 0.000 0.000 0.500
Pt1 0.500 0.500 0.500
# Energy above the most stable polymorph in this dataset: 123 meV/atom
# Volume: 93 Å³/cell

=====

Entry 5:
# Pu5CdPt4 (PBE, relaxed)
data_Pu5CdPt4
_symmetry_space_group_name_H-M 'P 4/m m m'
_symmetry_Int_Tables_number 123
_symmetry_space_group_name_Hall '-P 4 2'
_cell_length_a 3.527
_cell_length_b 3.527
_cell_length_c 18.310
_cell_angle_alpha 90.00
_cell_angle_beta 90.00
_cell_angle_gamma 90.00
loop_
_atom_site_label
_atom_site_fract_x
_atom_site_fract_y
_atom_site_fract_z
Pu1 0.000 0.000 0.000
Pu2 0.000 0.000 0.190
Pu3 0.000 0.000 0.377
Cd1 0.500 0.500 0.500
Pt1 0.500 0.500 0.095
Pt2 0.500 0.500 0.286
# Volume: 228 Å³/cell

=====

Entry 6:
# Pu4CdPt3 (PBE, relaxed)
data_Pu4CdPt3
_symmetry_space_group_name_H-M 'I 4/m c m'
_symmetry_Int_Tables_number 140
_symmetry_space_group_name_Hall '-I 4 2c'
_cell_length_a 11.274
_cell_length_b 11.274
_cell_length_c 5.573
_cell_angle_alpha 90.00
_cell_angle_beta 90.00
_cell_angle_gamma 90.00
loop_
_atom_site_label
_atom_site_fract_x
_atom_site_fract_y
_atom_site_fract_z
Pu1 0.083 0.226 0.000
Cd1 0.000 0.500 0.250
Pt1 0.000 0.000 0.250
Pt2 0.162 0.338 0.500
# Volume: 708 Å³/cell

=====

Entry 7:
# PuCd2Pt6 (PBE, relaxed)
data_PuCd2Pt6
_symmetry_space_group_name_H-M 'F m -3 m'
_symmetry_Int_Tables_number 225
_symmetry_space_group_name_Hall '-F 4 2 3'
_cell_length_a 8.982
_cell_length_b 8.982
_cell_length_c 8.982
_cell_angle_alpha 90.00
_cell_angle_beta 90.00
_cell_angle_gamma 90.00
loop_
_atom_site_label
_atom_site_fract_x
_atom_site_fract_y
_atom_site_fract_z
Pu1 0.000 0.000 0.000
Cd1 0.250 0.250 0.250
Pt1 0.000 0.000 0.285
# Volume: 725 Å³/cell

=====

Entry 8:
# Pu2CdPt (PBE, relaxed)
data_Pu2CdPt
_symmetry_space_group_name_H-M 'R -3 m'
_symmetry_Int_Tables_number 166
_symmetry_space_group_name_Hall '-R 3 2"'
_cell_length_a 2.9696
_cell_length_b 2.9696
_cell_length_c 34.9042
_cell_angle_alpha 90.00
_cell_angle_beta 90.00
_cell_angle_gamma 120.00
loop_
_atom_site_label
_atom_site_fract_x
_atom_site_fract_y
_atom_site_fract_z
Pu1 0.0000 0.0000 0.0943
Cd1 0.0000 0.0000 0.0000
Pt1 0.0000 0.0000 0.5000
# Energy above the most stable polymorph in this dataset: 443 meV/atom
# Volume: 267 Å³/cell

=====

E_tot readings, ordered: -37.12 -58.80 -257.73 -36.63 -102.65 -325.88 -207.70 -106.04 eV/cell